No. 1
Here is a geometry-optimized Sb2MoP structure from Alexandria. Energies are from PBE.

Structure (POSCAR):
```
Sb2MoP
1.0
1.7044 4.7444 0.0063
-1.7044 4.7444 0.0063
0.0000 0.5943 5.0355
Sb Mo P
2 1 1
Cartesian
0.0000 3.0897 3.6958
0.0000 6.9935 1.3523
0.0000 0.2972 2.5177
0.0000 4.7444 0.0063
```

Computed properties:
The uncorrected formation energy comes out at 0.50 eV per atom. The density comes out at 7.6 g cm⁻³. The magnetization is 0.000 μB per atom. The volume comes out at 81 Å³ per cell. The value obtained for the total DFT energy (no corrections) is -5.625 eV per atom.

***

No. 2
Here is a geometry-optimized Sb2MoP structure from Alexandria. Energies are from PBE.

Structure (POSCAR):
```
Sb2MoP
1.0
1.8062 -2.4268 0.0000
1.8062 2.4268 0.0000
0.0000 0.0000 9.5008
Sb Mo P
2 1 1
Cartesian
0.0000 0.0000 2.5688
0.0000 0.0000 6.9320
1.8062 0.0000 4.7504
1.8062 0.0000 0.0000
```

Computed properties:
The uncorrected formation energy comes out at 0.65 eV per atom. The density comes out at 7.4 g cm⁻³. The magnetization is 0.000 μB per atom. The volume comes out at 83 Å³ per cell. The value obtained for the total DFT energy (no corrections) is -5.475 eV per atom.

***

No. 3
Here is a geometry-optimized SbMoP4 structure from Alexandria. Energies are from PBE.

Structure (POSCAR):
```
SbMoP4
1.0
0.0000 3.6522 3.6522
3.6522 0.0000 3.6522
3.6522 3.6522 0.0000
Sb Mo P
1 1 4
Cartesian
1.8261 1.8261 1.8261
0.0000 0.0000 0.0000
2.7382 2.7382 4.5661
2.7382 4.5661 2.7382
4.5661 4.5661 4.5661
4.5661 2.7382 2.7382
```

Computed properties:
The uncorrected formation energy comes out at 0.82 eV per atom. The density comes out at 5.8 g cm⁻³. The magnetization is 0.154 μB per atom. The volume comes out at 97 Å³ per cell. The value obtained for the total DFT energy (no corrections) is -5.278 eV per atom.

***

No. 4
Here is a geometry-optimized Sb2MoP structure from Alexandria. Energies are from PBE.

Structure (POSCAR):
```
Sb2MoP
1.0
6.2227 0.0000 0.0000
0.0000 6.2227 0.0000
3.1114 3.1114 5.8510
Sb Mo P
4 2 2
Cartesian
4.6760 1.5557 1.4627
1.5467 4.6670 1.4627
4.6670 4.6581 4.3882
7.7784 7.7874 4.3882
0.0000 0.0000 0.0000
6.2227 3.1114 2.9255
3.1114 3.1114 0.0000
3.1114 6.2227 2.9255
```

Computed properties:
The uncorrected formation energy comes out at 0.70 eV per atom. The density comes out at 5.4 g cm⁻³. The magnetization is 0.240 μB per atom. The volume comes out at 227 Å³ per cell. The value obtained for the total DFT energy (no corrections) is -5.424 eV per atom.

***

No. 5
Here is a geometry-optimized Sb2MoP structure from Alexandria. Energies are from PBE.

Structure (POSCAR):
```
Sb2MoP
1.0
-0.4425 1.2281 3.1402
-2.9727 -1.6368 0.2213
3.1856 -5.4373 2.5753
Sb Mo P
2 1 1
Cartesian
2.4469 -4.1764 1.9781
0.7387 -1.2609 0.5972
-1.7076 -0.2044 1.6808
-0.1147 -2.9230 2.9684
```

Computed properties:
The uncorrected formation energy comes out at 0.37 eV per atom. The density comes out at 7.8 g cm⁻³. The magnetization is 0.000 μB per atom. The volume comes out at 79 Å³ per cell. The value obtained for the total DFT energy (no corrections) is -5.751 eV per atom.

***

No. 6
Here is a geometry-optimized Sb2MoP structure from Alexandria. Energies are from PBE.

Structure (POSCAR):
```
Sb2MoP
1.0
3.4050 0.0000 0.0000
0.0000 4.4883 0.0000
0.0000 0.0000 5.2964
Sb Mo P
2 1 1
Cartesian
0.0000 0.0000 0.0000
1.7025 0.0000 2.6482
1.7025 2.2442 0.0000
0.0000 2.2442 2.6482
```

Computed properties:
The uncorrected formation energy comes out at 0.68 eV per atom. The density comes out at 7.6 g cm⁻³. The magnetization is 0.032 μB per atom. The volume comes out at 81 Å³ per cell. The value obtained for the total DFT energy (no corrections) is -5.444 eV per atom.

***

No. 7
Here is a geometry-optimized Sb4MoP structure from Alexandria. Energies are from PBE.

Structure (POSCAR):
```
Sb4MoP
1.0
-0.5928 -2.7241 5.3933
1.2689 3.0470 5.0956
-4.4822 1.6395 3.7526
Sb Mo P
4 1 1
Cartesian
-1.7229 -0.6333 8.0413
-3.6763 1.5582 7.2173
-0.7878 2.2651 7.8918
-1.4251 0.7348 5.3326
-2.8545 1.4718 10.6812
0.0000 0.0000 0.0000
```

Computed properties:
The uncorrected formation energy comes out at 1.12 eV per atom. The density comes out at 6.4 g cm⁻³. The magnetization is 0.532 μB per atom. The volume comes out at 158 Å³ per cell. The value obtained for the total DFT energy (no corrections) is -4.334 eV per atom.

***

No. 8
Here is a geometry-optimized Sb2MoP structure from Alexandria. Energies are from PBE.

Structure (POSCAR):
```
Sb2MoP
1.0
4.3488 0.0000 0.0000
0.0000 3.8402 -0.0135
0.0000 1.7355 4.8678
Sb Mo P
2 1 1
Cartesian
0.0000 5.3383 4.4995
2.1744 1.5782 1.5066
0.0000 3.4087 2.4574
2.1744 3.6141 3.6721
```

Computed properties:
The uncorrected formation energy comes out at 0.20 eV per atom. The density comes out at 7.6 g cm⁻³. The magnetization is 0.000 μB per atom. The volume comes out at 81 Å³ per cell. The value obtained for the total DFT energy (no corrections) is -5.920 eV per atom.